Computed, not measured: crystalline LiFeF3 at its relaxed geometry at the PBE with a Hubbard U level of DFT.

a b c (Å): 5.1577 5.2183 7.6549
angles (deg): 89.79 89.69 60.51
Closest atoms and distances in Å follow each position.
Fractional positions:
1 Li 0.0000 0.0000 0.0000  6 F 1.97-2.04
2 Li 0.0015 0.0168 0.3153  5 F 1.93-2.14
3 Li 0.6647 0.6764 0.9207  3 F 1.92-1.95
4 Fe 0.0047 0.0063 0.6506  6 F 2.03-2.23
5 Fe 0.3333 0.3375 0.0011  6 F 2.07-2.16
6 Fe 0.6694 0.6690 0.3317  4 F 1.98-2.14
7 F 0.0150 0.3127 0.8494  2 Li 1.95-2.03, 1 Fe 2.07
8 F 0.3003 0.6942 0.8452  2 Li 1.93-1.98, 1 Fe 2.14
9 F 0.3157 0.7238 0.4649  1 Li 1.96, 2 Fe 1.98-2.10
10 F 0.3257 0.9873 0.1431  2 Li 1.98-2.07, 1 Fe 2.14
11 F 0.6754 0.3345 0.1419  2 Li 2.04-2.14, 2 Fe 2.07-2.26
12 F 0.6898 0.0144 0.8457  2 Li 1.92-1.97, 1 Fe 2.14
13 F 0.7304 0.9683 0.4694  1 Li 1.93, 2 Fe 2.04-2.07
14 F 0.9660 0.6859 0.1420  2 Li 2.04-2.26, 2 Fe 2.14-2.16
15 F 0.9723 0.3191 0.4787  1 Li 1.96, 2 Fe 2.03-2.06

Computed properties:
DOS at the Fermi energy (states/eV per cell): 0.000
Calculated volume (Å³/cell): 179
Polymorph energy (0 for the lowest one) (kJ/mol of formula units): 36
Symmetry: P1, No. 1